(1)
The following is a DFT calculation (SCAN) of a crystal of Zn2PAu relaxed with PBEsol.

Output
- DOS(E_F): 0.981 states/eV/f.u.
- VASP energy: -26.519 eV/atom
- Crystal system: orthorhombic
- SG: Pmmm (47)
- Formation energy from the elements: 0.127 eV per atom
- Magnetic moment: 0.00 μB/f.u.

Cell lengths 3.697, 3.940, 4.177 Å; angles 90.00, 90.00, 90.00 degrees
Fractional coordinates of all 4 atoms:
Au: 0.500 0.500 0.000
P: 0.500 0.000 0.500
Zn: 0.000 0.000 0.000
Zn: 0.000 0.500 0.500

---

(2)
The following is a DFT calculation (SCAN) of a crystal of ZnP2Au relaxed with PBEsol.

Output
- DOS(E_F): 1.434 states/eV/f.u.
- VASP energy: -25.341 eV/atom
- Crystal system: tetragonal
- SG: I-4m2 (119)
- Formation energy from the elements: 0.527 eV per atom
- Magnetic moment: 0.00 μB/f.u.

Cell lengths 4.134, 4.134, 4.662 Å; angles 116.32, 116.32, 90.00 degrees
Fractional coordinates of all 4 atoms:
Au: 0.250 0.750 0.500
P: 0.000 0.000 0.000
P: 0.750 0.250 0.500
Zn: 0.500 0.500 0.000

---

(3)
The following is a DFT calculation (SCAN) of a crystal of ZnP2Au relaxed with PBEsol.

Output
- DOS(E_F): 1.805 states/eV/f.u.
- VASP energy: -25.403 eV/atom
- Crystal system: tetragonal
- SG: P4/mmm (123)
- Formation energy from the elements: 0.464 eV per atom
- Magnetic moment: 0.00 μB/f.u.

Cell lengths 3.553, 3.553, 5.095 Å; angles 90.00, 90.00, 90.00 degrees
Fractional coordinates of all 4 atoms:
Au: 0.000 0.000 0.500
P: 0.000 0.500 0.000
P: 0.500 0.000 0.000
Zn: 0.500 0.500 0.500

---

(4)
The following is a DFT calculation (SCAN) of a crystal of Zn2PAu relaxed with PBEsol.

Output
- DOS(E_F): 1.061 states/eV/f.u.
- VASP energy: -26.512 eV/atom
- Crystal system: tetragonal
- SG: I4/mmm (139)
- Formation energy from the elements: 0.135 eV per atom
- Magnetic moment: 0.00 μB/f.u.

Cell lengths 3.952, 3.952, 4.768 Å; angles 114.49, 114.49, 90.00 degrees
Fractional coordinates of all 4 atoms:
Au: 0.500 0.500 0.000
P: 0.000 0.000 0.000
Zn: 0.750 0.250 0.500
Zn: 0.250 0.750 0.500

---

(5)
The following is a DFT calculation (SCAN) of a crystal of Zr2PAu relaxed with PBEsol.

Output
- DOS(E_F): 2.393 states/eV/f.u.
- VASP energy: -36.287 eV/atom
- Crystal system: orthorhombic
- SG: Amm2 (38)
- Formation energy from the elements: -1.049 eV per atom
- Magnetic moment: 0.00 μB/f.u.

Cell lengths 3.741, 3.751, 5.543 Å; angles 109.78, 90.00, 90.00 degrees
Fractional coordinates of all 4 atoms:
Au: 0.000 0.549 0.099
P: 0.500 0.711 0.423
Zr: 0.500 0.965 0.930
Zr: 0.000 0.274 0.548

---

(6)
The following is a DFT calculation (SCAN) of a crystal of Zr2PAu relaxed with PBEsol.

Output
- DOS(E_F): 2.211 states/eV/f.u.
- VASP energy: -35.961 eV/atom
- Crystal system: orthorhombic
- SG: Imm2 (44)
- Formation energy from the elements: -0.723 eV per atom
- Magnetic moment: 0.00 μB/f.u.

Cell lengths 3.371, 4.432, 5.554 Å; angles 113.51, 107.66, 90.00 degrees
Fractional coordinates of all 4 atoms:
Au: 0.469 0.469 0.938
P: 0.752 0.252 0.503
Zr: 0.030 0.030 0.061
Zr: 0.249 0.749 0.498

---

(7)
The following is a DFT calculation (SCAN) of a crystal of Zr2PAu relaxed with PBEsol.

Output
- DOS(E_F): 2.223 states/eV/f.u.
- VASP energy: -36.017 eV/atom
- Crystal system: tetragonal
- SG: I4/mmm (139)
- Formation energy from the elements: -0.779 eV per atom
- Magnetic moment: 0.00 μB/f.u.

Cell lengths 4.423, 4.821, 4.423 Å; angles 117.30, 90.00, 117.30 degrees
Fractional coordinates of all 4 atoms:
Au: 0.500 0.000 0.500
P: 0.000 0.000 0.000
Zr: 0.750 0.500 0.250
Zr: 0.250 0.500 0.750

---

(8)
The following is a DFT calculation (SCAN) of a crystal of Zr2PAu relaxed with PBEsol.

Output
- DOS(E_F): 1.406 states/eV/f.u.
- VASP energy: -36.343 eV/atom
- Crystal system: trigonal
- SG: R-3m (166)
- Formation energy from the elements: -1.105 eV per atom
- Magnetic moment: 0.00 μB/f.u.

Cell lengths 3.604, 3.604, 7.202 Å; angles 75.51, 75.51, 60.00 degrees
Fractional coordinates of all 4 atoms:
P: 0.500 0.500 0.500
Au: 0.000 0.000 0.000
Zr: 0.762 0.762 0.714
Zr: 0.238 0.238 0.286